[1]
## Pr3ZnGe2 (PBE-GGA)

Data for a geometry-optimized Pr3ZnGe2 structure.

a b c (Å): 12.085 4.353 12.026
angles (deg): 90.00 90.00 90.00
Atoms (fractional coordinates):
Pr  0.059  0.250  0.119
Pr  0.124  0.750  0.564
Pr  0.200  0.250  0.802
Pr  0.300  0.750  0.302
Pr  0.376  0.250  0.064
Pr  0.441  0.750  0.619
Pr  0.559  0.250  0.381
Pr  0.624  0.750  0.936
Pr  0.700  0.250  0.698
Pr  0.800  0.750  0.198
Pr  0.876  0.250  0.436
Pr  0.941  0.750  0.881
Zn  0.138  0.250  0.360
Zn  0.362  0.750  0.860
Zn  0.638  0.250  0.140
Zn  0.862  0.750  0.640
Ge  0.026  0.750  0.319
Ge  0.192  0.750  0.995
Ge  0.308  0.250  0.495
Ge  0.474  0.250  0.819
Ge  0.526  0.750  0.181
Ge  0.692  0.750  0.505
Ge  0.808  0.250  0.005
Ge  0.974  0.250  0.681

Computed properties:
* space-group type: Pnma, No. 62
* DFT formation energy: -0.663 eV/atom
* energy: -4.804 eV per atom



[2]
## SnBi3Pd (PBE-GGA)

Data for a geometry-optimized SnBi3Pd structure.

a b c (Å): 6.833 6.833 7.004
angles (deg): 109.51 109.51 80.35
Atoms (fractional coordinates):
Sn  0.069  0.069  0.267
Sn  0.931  0.931  0.733
Bi  0.054  0.588  0.279
Bi  0.412  0.946  0.721
Bi  0.468  0.468  0.763
Bi  0.532  0.532  0.237
Bi  0.588  0.054  0.279
Bi  0.946  0.412  0.721
Pd  0.213  0.213  0.023
Pd  0.787  0.787  0.977

Computed properties:
* space-group type: C2/m, No. 12
* DFT formation energy: -0.105 eV/atom
* E above lowest polymorph: 0.000 eV/atom
* energy: -4.273 eV per atom



[3]
## PaNbTcRu (PBE-GGA)

Data for a geometry-optimized PaNbTcRu structure.

a b c (Å): 6.616 6.616 6.616
angles (deg): 90.00 90.00 90.00
Atoms (fractional coordinates):
Pa  0.000  0.000  0.000
Pa  0.000  0.500  0.500
Pa  0.500  0.000  0.500
Pa  0.500  0.500  0.000
Nb  0.000  0.000  0.500
Nb  0.000  0.500  0.000
Nb  0.500  0.000  0.000
Nb  0.500  0.500  0.500
Tc  0.250  0.250  0.750
Tc  0.250  0.750  0.250
Tc  0.750  0.250  0.250
Tc  0.750  0.750  0.750
Ru  0.250  0.250  0.250
Ru  0.250  0.750  0.750
Ru  0.750  0.250  0.750
Ru  0.750  0.750  0.250

Computed properties:
* space-group type: F-43m, No. 216
* DFT formation energy: -0.208 eV/atom
* energy: -10.010 eV per atom



[4]
## Sm8N5 (PBE-GGA)

Data for a geometry-optimized Sm8N5 structure.

a b c (Å): 7.075 7.075 8.654
angles (deg): 127.30 127.30 60.36
Atoms (fractional coordinates):
Sm  0.022  0.022  0.319
Sm  0.028  0.549  0.840
Sm  0.451  0.972  0.160
Sm  0.475  0.475  0.668
Sm  0.525  0.525  0.332
Sm  0.549  0.028  0.840
Sm  0.972  0.451  0.160
Sm  0.978  0.978  0.681
N  0.000  0.000  0.000
N  0.249  0.751  0.500
N  0.256  0.256  0.999
N  0.744  0.744  0.001
N  0.751  0.249  0.500

Computed properties:
* space-group type: C2/m, No. 12
* formation energy from raw total energies: -1.064 eV/atom
* energy: -7.170 eV per atom